NpI2O2 | Alexandria | PBE | relaxed; formation energy without anion corrections = -1.562 eV per atom; ρ = 4.68 g/cm³
1.0
7.069 0.000 0.000
1.973 7.023 0.000
2.591 -0.291 7.480
Np I O
2 4 4
Cartesian
7.819 -0.074 2.158
3.814 6.806 5.323
3.763 1.836 4.755
5.983 5.260 6.939
5.650 1.472 0.541
7.870 4.896 2.725
1.879 1.218 1.602
4.080 6.017 3.412
7.554 0.715 4.068
9.754 5.514 5.878